(1)
First-principles (PBE) data for a geometry-optimized Mg2ZrPa structure, as listed in the Alexandria database.

```
Mg2ZrPa
1.0
1.532 0.885 11.892
-1.532 0.885 11.892
0.000 -1.770 11.892
Mg Zr Pa
2 1 1
Direct
0.091 0.091 0.091
0.909 0.909 0.909
0.500 0.500 0.500
0.000 0.000 0.000
```

Summary:
total magnetization: 0.072 μB per atom
energy of formation: 268 meV/atom
ρ: 6.37 g cm⁻³

=====

(2)
First-principles (PBE) data for a geometry-optimized NiMoN2 structure, as listed in the Alexandria database.

```
NiMoN2
1.0
-2.236 2.236 4.606
2.236 -2.236 4.606
2.236 2.236 -4.606
Ni Mo N
2 2 4
Direct
0.000 0.000 0.000
0.750 0.250 0.500
0.250 0.750 0.500
0.500 0.500 0.000
0.129 0.625 0.004
0.375 0.379 0.504
0.621 0.125 0.996
0.875 0.871 0.496
```

Summary:
total magnetization: 0.000 μB per atom
formation energy (no corrections): -0.078 eV/atom
ρ: 6.59 g cm⁻³

=====

(3)
First-principles (PBE) data for a geometry-optimized ZrTiPdCl2 structure, as listed in the Alexandria database.

```
ZrTiPdCl2
1.0
4.731 0.000 0.000
0.000 4.731 0.000
0.000 0.000 5.133
Zr Ti Pd Cl
1 1 1 2
Direct
0.000 0.000 0.000
0.500 0.500 0.000
0.500 0.500 0.500
0.000 0.500 0.500
0.500 0.000 0.500
```

Summary:
total magnetization: 0.108 μB per atom
formation energy (no corrections): 0.506 eV/atom
ρ: 4.57 g cm⁻³

=====

(4)
First-principles (PBE) data for a geometry-optimized Nd12Sm6Sn structure, as listed in the Alexandria database.

```
Nd12Sm6Sn
1.0
6.065 3.502 5.153
-6.065 3.502 5.153
0.000 -7.003 5.153
Nd Sm Sn
12 6 1
Direct
0.038 0.283 0.931
0.069 0.962 0.717
0.140 0.316 0.485
0.283 0.931 0.038
0.316 0.485 0.140
0.485 0.140 0.316
0.515 0.860 0.684
0.684 0.515 0.860
0.717 0.069 0.962
0.860 0.684 0.515
0.931 0.038 0.283
0.962 0.717 0.069
0.206 0.596 0.755
0.245 0.794 0.404
0.404 0.245 0.794
0.596 0.755 0.206
0.755 0.206 0.596
0.794 0.404 0.245
0.500 0.500 0.500
```

Summary:
total magnetization: 0.000 μB per atom
energy of formation: 23 meV/atom
ρ: 6.96 g cm⁻³

=====

(5)
First-principles (PBE) data for a geometry-optimized Be4Ni3Os structure, as listed in the Alexandria database.

```
Be4Ni3Os
1.0
2.678 0.000 0.000
0.000 2.678 0.000
0.000 0.000 10.625
Be Ni Os
4 3 1
Direct
0.000 0.000 0.121
0.000 0.000 0.358
0.000 0.000 0.642
0.000 0.000 0.879
0.500 0.500 0.000
0.500 0.500 0.239
0.500 0.500 0.761
0.500 0.500 0.500
```

Summary:
total magnetization: 0.000 μB per atom
energy of formation: -351 meV/atom
ρ: 8.77 g cm⁻³

=====

(6)
First-principles (PBE) data for a geometry-optimized Pm2Nd5Er12 structure, as listed in the Alexandria database.

```
Pm2Nd5Er12
1.0
6.176 0.000 0.000
-0.010 9.460 0.000
-1.036 -2.050 10.433
Pm Nd Er
2 5 12
Direct
0.081 0.317 0.474
0.919 0.683 0.526
0.238 0.947 0.421
0.341 0.368 0.053
0.500 0.000 0.000
0.659 0.632 0.947
0.762 0.053 0.579
0.026 0.105 0.157
0.132 0.526 0.790
0.183 0.737 0.105
0.288 0.159 0.738
0.396 0.579 0.368
0.445 0.788 0.684
0.555 0.212 0.316
0.604 0.421 0.632
0.712 0.841 0.262
0.817 0.263 0.895
0.868 0.474 0.210
0.974 0.895 0.843
```

Summary:
total magnetization: 0.000 μB per atom
energy of formation: 21 meV/atom
ρ: 8.22 g cm⁻³

=====

(7)
First-principles (PBE) data for a geometry-optimized InFeCo3 structure, as listed in the Alexandria database.

```
InFeCo3
1.0
4.317 0.000 0.000
0.000 4.317 0.000
0.000 0.000 4.317
In Fe Co
1 1 3
Direct
0.000 0.000 0.000
0.500 0.500 0.500
0.000 0.500 0.500
0.500 0.000 0.500
0.500 0.500 0.000
```

Summary:
total magnetization: 1.415 μB per atom
energy of formation: 891 meV/atom
ρ: 7.17 g cm⁻³

=====

(8)
First-principles (PBE) data for a geometry-optimized AcSm2Pb structure, as listed in the Alexandria database.

```
AcSm2Pb
1.0
4.183 0.000 0.000
0.000 4.183 0.000
0.000 0.000 7.684
Ac Sm Pb
1 2 1
Direct
0.000 0.000 0.000
0.500 0.500 0.294
0.500 0.500 0.706
0.000 0.000 0.500
```

Summary:
total magnetization: 0.001 μB per atom
energy of formation: -212 meV/atom
ρ: 9.08 g cm⁻³